# 1
The following is a DFT calculation (GGA-PBE) of crystalline Li4PrPt at its relaxed geometry.

Cell lengths 5.2890, 5.2890, 5.2890 Å; angles 60.00, 60.00, 60.00 degrees
Last column: nearest neighbours and their distance in Å.
Fractional coordinates of all 6 atoms:
Li  0.3785  0.3785  0.3785  6 Li 2.57-2.72
Li  0.3785  0.3785  0.8645  6 Li 2.57-2.72
Li  0.3785  0.8645  0.3785  6 Li 2.57-2.72
Li  0.8645  0.3785  0.3785  6 Li 2.57-2.72
Pr  0.0000  0.0000  0.0000  12 Li 3.11, 4 Pt 3.24
Pt  0.7500  0.7500  0.7500  12 Li 3.09, 4 Pr 3.24

Output
Fermi-level density of states in states/eV per atom: 0.649
Symmetry: F-43m
DFT formation energy in eV per atom: -0.21

# 2
The following is a DFT calculation (GGA-PBE) of crystalline KInCu2Cl8 at its relaxed geometry.

Cell lengths 6.1413, 7.8708, 8.3215 Å; angles 106.82, 108.92, 97.15 degrees
Last column: nearest neighbours and their distance in Å.
Fractional coordinates of all 12 atoms:
K  0.0000  0.0000  0.0000  6 Cl 3.28-3.46
In  0.5000  0.0000  0.5000  6 Cl 2.47-2.63
Cu  0.3105  0.3442  0.7937  4 Cl 2.29-2.31
Cu  0.6895  0.6558  0.2063  4 Cl 2.29-2.31
Cl  0.0869  0.7732  0.2806  1 Cu 2.31
Cl  0.3027  0.2728  0.5050  1 Cu 2.29
Cl  0.3587  0.4192  0.0928  2 Cu 2.29-2.30
Cl  0.4442  0.0094  0.7829  1 In 2.47
Cl  0.5558  0.9906  0.2171  1 In 2.47
Cl  0.6413  0.5808  0.9072  2 Cu 2.29-2.30
Cl  0.6973  0.7272  0.4950  1 Cu 2.29
Cl  0.9131  0.2268  0.7194  1 Cu 2.31

Output
Symmetry: P-1
Raw formation energy in meV/atom: -908

| no. | magnetization (μB per formula unit) | E_tot (eV/atom) |
| --- | --- | --- |
| 1 | 0.000 | -3.2848 |
| 2 | 2.014 | -3.1414 |